Entry from Alexandria: Pm12Sn6N after structural relaxation (PBE).

Summary:
Fermi-level density of states   14.3 states/eV per cell
Calculated density   6.8 g cm⁻³
Magnetic moment   0.00 Bohr magnetons per cell
Formation energy without anion corrections   -618.2 meV/atom
Crystal system   trigonal
E_tot   -5.3208 eV per atom

CIF file:
```
data_Pm12Sn6N
_space_group_name_H-M_alt 'P 1'
_space_group_IT_number 1
_cell_length_a 8.4347
_cell_length_b 8.4347
_cell_length_c 8.4347
_cell_angle_alpha 92.34
_cell_angle_beta 92.34
_cell_angle_gamma 92.34
loop_
_space_group_symop_operation_xyz
'x,y,z'
loop_
_atom_site_label
_atom_site_type_symbol
_atom_site_fract_x
_atom_site_fract_y
_atom_site_fract_z
Pm1 Pm 0.8044 0.5856 0.4555
Pm2 Pm 0.4555 0.8044 0.5856
Pm3 Pm 0.5856 0.4555 0.8044
Pm4 Pm 0.1956 0.4144 0.5445
Pm5 Pm 0.5445 0.1956 0.4144
Pm6 Pm 0.4144 0.5445 0.1956
Pm7 Pm 0.9550 0.0731 0.2876
Pm8 Pm 0.9269 0.7124 0.0450
Pm9 Pm 0.7124 0.0450 0.9269
Pm10 Pm 0.0450 0.9269 0.7124
Pm11 Pm 0.0731 0.2876 0.9550
Pm12 Pm 0.2876 0.9550 0.0731
Sn1 Sn 0.6316 0.8601 0.2504
Sn2 Sn 0.7496 0.3684 0.1399
Sn3 Sn 0.1399 0.7496 0.3684
Sn4 Sn 0.3684 0.1399 0.7496
Sn5 Sn 0.2504 0.6316 0.8601
Sn6 Sn 0.8601 0.2504 0.6316
N1 N 0.0000 0.0000 0.0000
```